The following is a DFT calculation (PBE-GGA) of an optimized crystal structure of ScZn6Co6.

Structure (extended XYZ):
```
13
Lattice="-2.4348 4.2257 4.2316 2.4348 -4.2257 4.2316 2.4348 4.2257 -4.2316" Properties=species:S:1:pos:R:3 pbc="T T T"
Sc 0.0000 0.0000 0.0000
Zn 2.4348 1.6126 0.0000
Zn 0.0000 0.0000 2.8149
Zn 0.0000 2.9243 0.0000
Zn 0.0000 5.5270 0.0000
Zn 0.0000 0.0000 5.6483
Zn 0.0000 2.6131 4.2316
Co 1.2174 2.1128 -2.1158
Co 1.2174 -2.1128 2.1158
Co 2.4348 0.0000 1.9873
Co -1.2174 2.1128 2.1158
Co 1.2174 2.1128 2.1158
Co 0.0000 4.2257 2.2442
```

Output
E   -4.465 eV per atom
ΔH_f (0 K)   -139 kJ/mol of formula units

The following is a DFT calculation (PBE-GGA) of an optimized crystal structure of Sc3Zn8Co3.

Structure (extended XYZ):
```
14
Lattice="-2.1049 4.5412 5.6716 2.1049 -4.5412 5.6716 2.1049 4.5412 -5.6716" Properties=species:S:1:pos:R:3 pbc="T T T"
Sc 0.0000 0.0000 0.0000
Sc 0.0000 0.0000 3.4377
Sc 0.0000 0.0000 7.9054
Zn 2.1049 -1.2520 1.6175
Zn 2.1049 -1.9665 4.2383
Zn 2.1049 1.2520 1.6175
Zn 0.0000 2.5746 1.4332
Zn 2.1049 1.9665 4.2383
Zn 0.0000 3.2892 4.0541
Zn 0.0000 6.5077 1.4332
Zn 0.0000 5.7932 4.0541
Co 2.1049 3.2069 0.0000
Co 0.0000 4.5412 0.0000
Co 0.0000 1.3343 5.6716
```

Output
E   -3.845 eV per atom
ΔH_f (0 K)   -320 kJ/mol of formula units

The following is a DFT calculation (PBE-GGA) of an optimized crystal structure of ScZn9Co3.

Structure (extended XYZ):
```
13
Lattice="2.5018 -6.0584 0.0000 2.5018 6.0584 0.0000 -2.3991 0.0000 6.0925" Properties=species:S:1:pos:R:3 pbc="T T T"
Sc 0.0000 0.0000 0.0000
Zn 0.1481 3.9794 4.0654
Zn 0.0580 1.3322 4.7796
Zn 2.4564 3.9794 2.0271
Zn 0.0580 -1.3322 4.7796
Zn 1.3022 0.0000 3.0462
Zn 2.5465 1.3322 1.3128
Zn 0.1481 -3.9794 4.0654
Zn 2.5465 -1.3322 1.3128
Zn 2.4564 -3.9794 2.0271
Co -1.1996 0.0000 3.0462
Co 1.2509 3.0292 0.0000
Co 1.2509 -3.0292 0.0000
```

Output
E   -3.158 eV per atom
ΔH_f (0 K)   -187 kJ/mol of formula units

The following is a DFT calculation (PBE-GGA) of an optimized crystal structure of ZrScZnCo.

Structure (extended XYZ):
```
4
Lattice="0.0000 3.2501 3.2501 3.2501 0.0000 3.2501 3.2501 3.2501 0.0000" Properties=species:S:1:pos:R:3 pbc="T T T"
Zr 0.0000 0.0000 0.0000
Sc 3.2501 3.2501 3.2501
Zn 1.6250 1.6250 1.6250
Co 4.8751 4.8751 4.8751
```

Output
Energy above the most stable polymorph in this dataset   0.16 eV per formula unit
E   -6.090 eV per atom
ΔH_f (0 K)   -106 kJ/mol of formula units

The following is a DFT calculation (PBE-GGA) of an optimized crystal structure of ZrScZnCo.

Structure (extended XYZ):
```
4
Lattice="3.2243 0.0000 0.0000 0.0000 3.2243 0.0000 0.0000 0.0000 6.6320" Properties=species:S:1:pos:R:3 pbc="T T T"
Zr 0.0000 0.0000 0.0000
Sc 0.0000 0.0000 3.0918
Zn 1.6121 1.6121 4.8359
Co 1.6121 1.6121 1.4860
```

Output
Energy above the most stable polymorph in this dataset   0.00 eV per formula unit
E   -6.131 eV per atom
ΔH_f (0 K)   -122 kJ/mol of formula units

The following is a DFT calculation (PBE-GGA) of an optimized crystal structure of ZrSc2ZnCo.

Structure (extended XYZ):
```
5
Lattice="5.1955 0.0000 0.0000 0.0000 5.1955 0.0000 0.0000 0.0000 4.4239" Properties=species:S:1:pos:R:3 pbc="T T T"
Zr 0.0000 0.0000 0.0000
Sc 0.0000 2.5977 0.0000
Sc 2.5977 0.0000 0.0000
Zn 2.5977 2.5977 2.2119
Co 0.0000 0.0000 2.2119
```

Output
E   -4.994 eV per atom
ΔH_f (0 K)   446 kJ/mol of formula units

The following is a DFT calculation (PBE-GGA) of an optimized crystal structure of Zr2Sc3Co2.

Structure (extended XYZ):
```
7
Lattice="5.5374 -1.6393 0.0000 5.5374 1.6393 0.0000 -3.5185 0.0000 7.5145" Properties=species:S:1:pos:R:3 pbc="T T T"
Zr 0.7146 0.0000 2.3749
Zr 6.8417 0.0000 5.1396
Sc 4.0108 0.0000 0.5077
Sc 3.7781 0.0000 3.7573
Sc 3.5455 0.0000 7.0069
Co -0.5879 0.0000 5.5107
Co 8.1442 0.0000 2.0038
```

Output
E   -7.419 eV per atom
ΔH_f (0 K)   -157 kJ/mol of formula units

The following is a DFT calculation (PBE-GGA) of an optimized crystal structure of ZrSc4Co2.

Structure (extended XYZ):
```
14
Lattice="6.9760 0.0000 0.0000 0.0000 5.7651 0.0000 -2.8835 0.0000 6.7902" Properties=species:S:1:pos:R:3 pbc="T T T"
Zr 0.9846 1.4413 0.2282
Zr 3.1079 4.3239 6.5620
Sc -0.9223 1.4413 2.6284
Sc 0.7407 4.3239 2.2701
Sc 0.6503 0.0234 5.2343
Sc 0.6503 2.8591 5.2343
Sc 3.4422 2.9060 1.5559
Sc 3.4422 5.7417 1.5559
Sc 3.3518 1.4413 4.5201
Sc 5.0148 4.3239 4.1618
Co -1.2533 4.3239 6.6506
Co 1.4725 1.4413 2.8397
Co 2.6200 4.3239 3.9505
Co 5.3458 1.4413 0.1396
```

Output
E   -7.009 eV per atom
ΔH_f (0 K)   -94 kJ/mol of formula units

The following is a DFT calculation (PBE-GGA) of an optimized crystal structure of ZrScCo.

Structure (extended XYZ):
```
6
Lattice="5.6275 -1.6000 0.0000 5.6275 1.6000 0.0000 -1.8213 0.0000 6.1364" Properties=species:S:1:pos:R:3 pbc="T T T"
Zr 1.1002 0.0000 2.0124
Zr 8.3336 0.0000 4.1240
Sc 0.0621 0.0000 5.0221
Sc 9.3717 0.0000 1.1143
Co 5.6275 0.0000 0.0000
Co 4.7169 0.0000 3.0682
```

Output
Energy above the most stable polymorph in this dataset   0.25 eV per formula unit
E   -7.501 eV per atom
ΔH_f (0 K)   -50 kJ/mol of formula units

The following is a DFT calculation (PBE-GGA) of an optimized crystal structure of ZrScCo.

Structure (extended XYZ):
```
6
Lattice="6.5163 -1.7125 0.0000 6.5163 1.7125 0.0000 -1.0119 0.0000 5.1899" Properties=species:S:1:pos:R:3 pbc="T T T"
Zr 0.0000 0.0000 0.0000
Zr 6.9648 0.0000 2.8522
Sc 3.2921 0.0000 3.4563
Sc 9.3434 0.0000 0.6011
Co 4.8103 0.0000 0.9908
Co 11.5681 0.0000 2.5353
```

Output
Energy above the most stable polymorph in this dataset   0.21 eV per formula unit
E   -7.514 eV per atom
ΔH_f (0 K)   -54 kJ/mol of formula units

The following is a DFT calculation (PBE-GGA) of an optimized crystal structure of ZrSc4Co5.

Structure (extended XYZ):
```
10
Lattice="3.1466 0.0000 0.0000 0.0000 3.1466 0.0000 0.0000 0.0000 15.6669" Properties=species:S:1:pos:R:3 pbc="T T T"
Zr 0.0000 0.0000 0.0000
Sc 0.0000 0.0000 3.1993
Sc 0.0000 0.0000 6.2845
Sc 0.0000 0.0000 9.3824
Sc 0.0000 0.0000 12.4676
Co 1.5733 1.5733 1.5342
Co 1.5733 1.5733 4.7024
Co 1.5733 1.5733 7.8334
Co 1.5733 1.5733 10.9645
Co 1.5733 1.5733 14.1327
```

Output
E   -7.297 eV per atom
ΔH_f (0 K)   -344 kJ/mol of formula units

The following is a DFT calculation (PBE-GGA) of an optimized crystal structure of Zr2ScCo3.

Structure (extended XYZ):
```
12
Lattice="4.4931 0.0000 0.0000 -2.2466 3.8912 0.0000 0.0000 0.0000 10.9978" Properties=species:S:1:pos:R:3 pbc="T T T"
Zr 0.0000 0.0000 0.0000
Zr 0.0000 0.0000 5.4989
Zr 0.0000 2.5941 1.8853
Zr 2.2466 1.2971 9.1125
Sc 0.0000 2.5941 7.3133
Sc 2.2466 1.2971 3.6845
Co 0.0000 0.0000 2.7343
Co 0.0000 0.0000 8.2635
Co 0.0000 2.5941 4.5919
Co 0.0000 2.5941 10.1091
Co 2.2466 1.2971 0.8887
Co 2.2466 1.2971 6.4059
```

Output
Energy above the most stable polymorph in this dataset   0.00 eV per formula unit
E   -7.783 eV per atom
ΔH_f (0 K)   -189 kJ/mol of formula units

- E of number 3 (ScZn9Co3)?
  -3.158 eV per atom

- ΔH_f (0 K) of number 6 (ZrSc2ZnCo)?
  446 kJ/mol of formula units

- E of number 7 (Zr2Sc3Co2)?
  -7.419 eV per atom

Copy entry 6 word for word.
The following is a DFT calculation (PBE-GGA) of an optimized crystal structure of ZrSc2ZnCo.

Structure (extended XYZ):
```
5
Lattice="5.1955 0.0000 0.0000 0.0000 5.1955 0.0000 0.0000 0.0000 4.4239" Properties=species:S:1:pos:R:3 pbc="T T T"
Zr 0.0000 0.0000 0.0000
Sc 0.0000 2.5977 0.0000
Sc 2.5977 0.0000 0.0000
Zn 2.5977 2.5977 2.2119
Co 0.0000 0.0000 2.2119
```

Output
E   -4.994 eV per atom
ΔH_f (0 K)   446 kJ/mol of formula units